(1)
Li8In2Rh: relaxed, PBE-GGA.

```
Li8In2Rh
1.0
-1.2862 6.0507 -0.5118
2.3771 0.1145 -4.6208
-5.5812 -5.5244 -0.0848
Li In Rh
8 2 1
Direct
0.7636 0.8145 0.1303
0.2364 0.6842 0.8697
0.8181 0.7626 0.5252
0.1819 0.2374 0.4748
0.7636 0.3158 0.1303
0.2364 0.1855 0.8697
0.2355 0.6088 0.2176
0.7645 0.3912 0.7824
0.4806 0.8413 0.6827
0.5194 0.1587 0.3173
0.0000 0.0000 0.0000
```

Results
energy = -2.708 eV per atom
crystal system = monoclinic

---

(2)
LiIn3Rh4: relaxed, PBE-GGA.

```
LiIn3Rh4
1.0
-2.7108 -3.5582 0.5547
3.5383 -2.7608 -0.4184
0.5324 3.4127 6.1795
In Rh Li
3 4 1
Direct
0.0000 0.5000 0.0000
0.7446 0.2447 0.4892
0.2554 0.7553 0.5108
0.3768 0.3765 0.7536
0.6232 0.6235 0.2464
0.1232 0.1231 0.2464
0.8768 0.8769 0.7536
0.5000 0.0000 0.0000
```

Results
energy = -5.356 eV per atom
crystal system = monoclinic

---

(3)
Li2InRh2: relaxed, PBE-GGA.

```
Li2InRh2
1.0
-4.3946 -0.3265 0.1519
-1.9592 -1.7540 3.5393
-2.3556 3.3891 3.1218
Li In Rh
2 1 2
Direct
0.2039 0.7039 0.3882
0.7961 0.2961 0.6118
0.0000 0.5000 0.0000
0.5956 0.0956 0.2131
0.4044 0.9044 0.7869
```

Results
crystal system = trigonal
ΔE to the lowest computed polymorph = 0 kJ/mol of formula units

---

Number 1: total magnetization 0.00 μB/atom. Number 2: total magnetization 0.00 μB/atom. Number 3: total magnetization 0.00 μB/atom.